No. 1
VASP calculation (PBE-GGA) on an optimized crystal structure of Ta2RePb.

Cell: 4.095 4.095 8.807 Å, 90.00 90.00 90.00°
Sites, in units of the cell vectors:
Ta (0.000, 0.000, 0.000)
Ta (0.000, 0.500, 0.250)
Ta (0.500, 0.000, 0.750)
Ta (0.500, 0.500, 0.500)
Re (0.000, 0.000, 0.500)
Re (0.500, 0.500, 0.000)
Pb (0.000, 0.500, 0.750)
Pb (0.500, 0.000, 0.250)

spin magnetization = 0.00 μB/cell
ρ = 17.0 g cm⁻³
total energy = -37.90 eV per formula unit
energy relative to the elements = 0.491 eV/atom

=====

No. 2
VASP calculation (PBE-GGA) on an optimized crystal structure of Ta4RePb.

Cell: 5.442 5.442 5.442 Å, 60.00 60.00 60.00°
Sites, in units of the cell vectors:
Ta (0.125, 0.125, 0.125)
Ta (0.125, 0.125, 0.625)
Ta (0.125, 0.625, 0.125)
Ta (0.625, 0.125, 0.125)
Re (0.500, 0.500, 0.500)
Pb (0.750, 0.750, 0.750)

spin magnetization = 0.00 μB/cell
ρ = 16.3 g cm⁻³
total energy = -60.25 eV per formula unit
energy relative to the elements = 0.552 eV/atom

=====

Which formula does entry 1 have? Ta2RePb